VASP calculation (PBE) on a relaxed LuBe4Re crystal.

Summary:
DFT total energy in eV per atom: -5.3773
Crystal system: cubic
E_form in eV/atom: -0.07

CIF file:
```
data_LuBe4Re
_chemical_formula_sum 'Lu4 Be16 Re4'
_cell_length_a 6.5758
_cell_length_b 6.5758
_cell_length_c 6.5758
_cell_angle_alpha 90.00
_cell_angle_beta 90.00
_cell_angle_gamma 90.00
_symmetry_space_group_name_H-M 'F -4 3 m'
_symmetry_Int_Tables_number 216
_symmetry_space_group_name_Hall 'F -4 2 3'
loop_
_atom_site_label
_atom_site_fract_x
_atom_site_fract_y
_atom_site_fract_z
Lu1 0.0000 0.0000 0.0000
Be1 0.1221 0.1221 0.3779
Re1 0.2500 0.2500 0.7500
```

=====

VASP calculation (PBE) on a relaxed OsSeCl2 crystal.

Summary:
DFT total energy in eV per atom: -4.3316
Energy above the lowest structure with this stoichiometry in meV per atom: 385
Crystal system: monoclinic
ΔE_f (raw) in eV/atom: 0.270

CIF file:
```
data_OsSeCl2
_chemical_formula_sum 'Os2 Se2 Cl4'
_cell_length_a 14.4260
_cell_length_b 2.9986
_cell_length_c 4.6629
_cell_angle_alpha 90.00
_cell_angle_beta 108.75
_cell_angle_gamma 90.00
_symmetry_space_group_name_H-M 'C 1 2/m 1'
_symmetry_Int_Tables_number 12
loop_
_symmetry_equiv_pos_as_xyz
'x,y,z'
'-x,-y,-z'
'-x,y,-z'
'x,-y,z'
'x+1/2,y+1/2,z'
'-x+1/2,-y+1/2,-z'
'-x+1/2,y+1/2,-z'
'x+1/2,-y+1/2,z'
loop_
_atom_site_label
_atom_site_fract_x
_atom_site_fract_y
_atom_site_fract_z
Os1 0.0000 0.0000 0.0000
Se1 0.0000 0.5000 0.5000
Cl1 0.1402 0.5000 0.1395
```

=====

VASP calculation (PBE) on a relaxed LaUTl2Se6 crystal.

Summary:
DFT total energy in eV per atom: -5.1035
Crystal system: monoclinic
ΔE_f (raw) in eV/atom: -0.918

CIF file:
```
data_LaUTl2Se6
_chemical_formula_sum 'La2 U2 Tl4 Se12'
_cell_length_a 7.5151
_cell_length_b 7.6992
_cell_length_c 13.2882
_cell_angle_alpha 90.00
_cell_angle_beta 124.22
_cell_angle_gamma 90.00
_symmetry_space_group_name_H-M 'P 1 21/c 1'
_symmetry_Int_Tables_number 14
loop_
_symmetry_equiv_pos_as_xyz
'x,y,z'
'-x,-y,-z'
'-x,y+1/2,-z+1/2'
'x,-y+1/2,z+1/2'
loop_
_atom_site_label
_atom_site_fract_x
_atom_site_fract_y
_atom_site_fract_z
La1 0.0000 0.0000 0.0000
U1 0.5000 0.0000 0.5000
Tl1 0.2434 0.0547 0.7462
Se1 0.1520 0.1714 0.4551
Se2 0.2819 0.7006 0.4481
Se3 0.3589 0.0375 0.2630
```

=====

VASP calculation (PBE) on a relaxed SiPbNF2 crystal.

Summary:
DFT total energy in eV per atom: -5.3059
Energy above the lowest structure with this stoichiometry in meV per atom: 0
Crystal system: tetragonal
ΔE_f (raw) in eV/atom: -1.066

CIF file:
```
data_SiPbNF2
_chemical_formula_sum 'Si1 Pb1 N1 F2'
_cell_length_a 4.5507
_cell_length_b 4.5507
_cell_length_c 3.3537
_cell_angle_alpha 90.00
_cell_angle_beta 90.00
_cell_angle_gamma 90.00
_symmetry_space_group_name_H-M 'P 4/m m m'
_symmetry_Int_Tables_number 123
_symmetry_space_group_name_Hall '-P 4 2'
loop_
_atom_site_label
_atom_site_fract_x
_atom_site_fract_y
_atom_site_fract_z
Si1 0.0000 0.0000 0.0000
Pb1 0.5000 0.5000 0.5000
N1 0.0000 0.0000 0.5000
F1 0.0000 0.5000 0.0000
```